DFT (PBE) results for crystalline LaTc2Au at its relaxed geometry.

Calculated values
- Magnetic moment: 0.0 μB per formula unit
- Energy above the lowest structure with this stoichiometry: 0 meV per atom
- Formation energy: -0.03 eV/atom

CIF file:
```
data_LaTc2Au
_cell_length_a 4.2973
_cell_length_b 4.2973
_cell_length_c 16.7807
_cell_angle_alpha 90.00
_cell_angle_beta 90.00
_cell_angle_gamma 120.00
_symmetry_space_group_name_H-M 'R 3 m'
_symmetry_Int_Tables_number 160
_symmetry_space_group_name_Hall 'R 3 -2"'
loop_
_atom_site_label
_atom_site_type_symbol
_atom_site_fract_x
_atom_site_fract_y
_atom_site_fract_z
La1 La 0.0000 0.0000 0.0000
Tc1 Tc 0.0000 0.0000 0.2016
Tc2 Tc 0.0000 0.0000 0.5255
Au1 Au 0.0000 0.0000 0.7830
```


DFT (PBE) results for crystalline LaTcAu3 at its relaxed geometry.

Calculated values
- Magnetic moment: 0.5 μB per formula unit
- Energy above the lowest structure with this stoichiometry: 0 meV per atom
- Formation energy: 0.23 eV/atom

CIF file:
```
data_LaTcAu3
_cell_length_a 5.040
_cell_length_b 5.040
_cell_length_c 5.040
_cell_angle_alpha 90.00
_cell_angle_beta 90.00
_cell_angle_gamma 90.00
_symmetry_space_group_name_H-M 'P m -3 m'
_symmetry_Int_Tables_number 221
_symmetry_space_group_name_Hall '-P 4 2 3'
loop_
_atom_site_label
_atom_site_type_symbol
_atom_site_fract_x
_atom_site_fract_y
_atom_site_fract_z
La1 La 0.000 0.000 0.000
Tc1 Tc 0.500 0.500 0.500
Au1 Au 0.000 0.500 0.500
```


DFT (PBE) results for crystalline LaTc2Au at its relaxed geometry.

Calculated values
- Magnetic moment: 0.4 μB per formula unit
- Energy above the lowest structure with this stoichiometry: 543 meV per atom
- Formation energy: 0.51 eV/atom

CIF file:
```
data_LaTc2Au
_cell_length_a 4.213
_cell_length_b 4.213
_cell_length_c 8.650
_cell_angle_alpha 90.00
_cell_angle_beta 90.00
_cell_angle_gamma 90.00
_symmetry_space_group_name_H-M 'I 4/m m m'
_symmetry_Int_Tables_number 139
_symmetry_space_group_name_Hall '-I 4 2'
loop_
_atom_site_label
_atom_site_type_symbol
_atom_site_fract_x
_atom_site_fract_y
_atom_site_fract_z
La1 La 0.000 0.000 0.000
Tc1 Tc 0.000 0.500 0.250
Au1 Au 0.000 0.000 0.500
```


DFT (PBE) results for crystalline LaTcAu2 at its relaxed geometry.

Calculated values
- Magnetic moment: 0.0 μB per formula unit
- Energy above the lowest structure with this stoichiometry: 87 meV per atom
- Formation energy: 0.01 eV/atom

CIF file:
```
data_LaTcAu2
_cell_length_a 10.289
_cell_length_b 3.501
_cell_length_c 5.211
_cell_angle_alpha 90.00
_cell_angle_beta 117.10
_cell_angle_gamma 90.00
_symmetry_space_group_name_H-M 'C 1 m 1'
_symmetry_Int_Tables_number 8
loop_
_symmetry_equiv_pos_as_xyz
'x,y,z'
'x,-y,z'
'x+1/2,y+1/2,z'
'x+1/2,-y+1/2,z'
loop_
_atom_site_label
_atom_site_type_symbol
_atom_site_fract_x
_atom_site_fract_y
_atom_site_fract_z
La1 La 0.000 0.000 0.000
Tc1 Tc 0.245 0.500 0.087
Au1 Au 0.219 0.000 0.637
Au2 Au 0.457 0.000 0.472
```


DFT (PBE) results for crystalline LaTc2Au at its relaxed geometry.

Calculated values
- Magnetic moment: 0.0 μB per formula unit
- Energy above the lowest structure with this stoichiometry: 323 meV per atom
- Formation energy: 0.29 eV/atom

CIF file:
```
data_LaTc2Au
_cell_length_a 4.086
_cell_length_b 4.882
_cell_length_c 4.507
_cell_angle_alpha 90.00
_cell_angle_beta 96.98
_cell_angle_gamma 90.00
_symmetry_space_group_name_H-M 'P 1 2/m 1'
_symmetry_Int_Tables_number 10
loop_
_symmetry_equiv_pos_as_xyz
'x,y,z'
'-x,-y,-z'
'-x,y,-z'
'x,-y,z'
loop_
_atom_site_label
_atom_site_type_symbol
_atom_site_fract_x
_atom_site_fract_y
_atom_site_fract_z
La1 La 0.000 0.000 0.000
Tc1 Tc 0.252 0.500 0.645
Au1 Au 0.500 0.000 0.500
```


DFT (PBE) results for crystalline LaTcAu2 at its relaxed geometry.

Calculated values
- Magnetic moment: 1.9 μB per formula unit
- Energy above the lowest structure with this stoichiometry: 61 meV per atom
- Formation energy: -0.02 eV/atom

CIF file:
```
data_LaTcAu2
_cell_length_a 4.286
_cell_length_b 4.286
_cell_length_c 9.034
_cell_angle_alpha 90.00
_cell_angle_beta 90.00
_cell_angle_gamma 90.00
_symmetry_space_group_name_H-M 'I 4/m m m'
_symmetry_Int_Tables_number 139
_symmetry_space_group_name_Hall '-I 4 2'
loop_
_atom_site_label
_atom_site_type_symbol
_atom_site_fract_x
_atom_site_fract_y
_atom_site_fract_z
La1 La 0.000 0.000 0.000
Tc1 Tc 0.000 0.000 0.500
Au1 Au 0.000 0.500 0.250
```